This record from Alexandria describes Mn3ZnIr4 after structural relaxation. The functional is GGA-PBE.

- N(E_F) (states/eV per cell) = 5.67
- crystal system = orthorhombic
- formation enthalpy at 0 K (meV per atom) = -156

CIF file:
```
data_Mn3ZnIr4
_chemical_formula_sum 'Mn3 Zn1 Ir4'
_symmetry_space_group_name_H-M 'P m m m'
_symmetry_Int_Tables_number 47
_cell_length_a 3.074
_cell_length_b 4.259
_cell_length_c 8.528
_cell_angle_alpha 90.00
_cell_angle_beta 90.00
_cell_angle_gamma 90.00
loop_
_symmetry_equiv_pos_as_xyz
'x,y,z'
'-x,-y,-z'
'-x,-y,z'
'x,y,-z'
'x,-y,-z'
'-x,y,z'
'-x,y,-z'
'x,-y,z'
loop_
_atom_site_label
_atom_site_type_symbol
_atom_site_fract_x
_atom_site_fract_y
_atom_site_fract_z
Mn1 Mn 0.000 0.000 0.000
Mn2 Mn 0.000 0.500 0.253
Zn1 Zn 0.000 0.000 0.500
Ir1 Ir 0.500 0.000 0.246
Ir2 Ir 0.500 0.500 0.000
Ir3 Ir 0.500 0.500 0.500
```